[1]
A relaxed structure of TaCr2Mo, computed with PBE.

```
TaCr2Mo
1.0
5.007 -0.004 0.002
-2.147 4.523 0.002
0.495 0.783 2.554
Mo Cr Ta
1 2 1
Direct
0.500 0.000 0.500
0.000 0.000 0.000
0.500 0.500 0.000
0.000 0.500 0.500
```

Output
- SG = C2/m (12)
- distance to the lowest polymorph of the same formula (eV per atom) = 0.094
- energy of formation from the pure elements (eV/atom) = 0.074


[2]
A relaxed structure of AcHS2, computed with PBE.

```
AcHS2
1.0
-4.379 -1.816 -1.000
2.429 -2.528 -6.046
3.010 -10.290 5.511
Ac S H
4 8 4
Direct
0.250 0.377 0.336
0.750 0.877 0.164
0.750 0.623 0.664
0.250 0.123 0.836
0.250 0.645 0.153
0.750 0.860 0.904
0.750 0.640 0.404
0.250 0.140 0.096
0.750 0.355 0.847
0.250 0.855 0.653
0.250 0.360 0.596
0.750 0.145 0.347
0.250 0.161 0.593
0.750 0.661 0.907
0.750 0.839 0.407
0.250 0.339 0.093
```

Output
- SG = Pnma (62)
- distance to the lowest polymorph of the same formula (eV per atom) = 0.002


[3]
A relaxed structure of ZrPaTi2, computed with PBE.

```
ZrPaTi2
1.0
4.867 0.000 0.000
2.433 4.215 0.000
2.433 1.405 3.974
Ti Pa Zr
2 1 1
Direct
0.250 0.250 0.250
0.750 0.750 0.750
0.000 0.000 0.000
0.500 0.500 0.500
```

Output
- SG = Fm-3m (225)
- distance to the lowest polymorph of the same formula (eV per atom) = 0.000
- energy of formation from the pure elements (eV/atom) = 0.092


[4]
A relaxed structure of FeSnS, computed with PBE.

```
FeSnS
1.0
-4.837 -1.534 -4.078
0.263 -3.153 0.873
-2.436 1.181 4.999
Fe S Sn
2 2 2
Direct
0.446 0.500 0.035
0.446 0.000 0.535
0.293 0.000 0.819
0.293 0.500 0.319
0.793 0.000 0.980
0.793 0.500 0.480
```

Output
- SG = Cm (8)
- final energy (eV per atom) = -5.618


[5]
A relaxed structure of VReMo2, computed with PBE.

```
VReMo2
1.0
2.697 0.241 -0.006
0.466 5.123 0.010
-1.565 -2.678 4.393
Re Mo V
1 2 1
Direct
0.750 0.634 0.000
0.250 0.134 0.500
0.750 0.634 0.500
0.250 0.134 0.000
```

Output
- SG = P-1 (2)
- distance to the lowest polymorph of the same formula (eV per atom) = 0.013
- energy of formation from the pure elements (eV/atom) = -0.121


[6]
A relaxed structure of Ho4SnBiC, computed with PBE.

```
Ho4SnBiC
1.0
-6.307 -2.525 0.309
1.545 -3.147 5.825
0.799 7.643 3.918
Ho Sn C Bi
8 2 2 2
Direct
0.000 0.500 0.500
0.500 0.000 0.500
0.500 0.500 0.500
0.000 0.000 0.500
0.093 0.750 0.185
0.597 0.250 0.194
0.907 0.250 0.815
0.403 0.750 0.806
0.108 0.250 0.217
0.892 0.750 0.783
0.751 0.250 0.502
0.249 0.750 0.498
0.395 0.250 0.790
0.605 0.750 0.210
```

Output
- SG = Cmcm (63)
- energy of formation from the pure elements (eV/atom) = -0.664


Q: Which formula does entry 6 have?
A: Ho4SnBiC